Density functional theory data (PBE-GGA) for crystalline AsPIrO2 at its relaxed geometry.

Cell and atoms, written as POSCAR:
```
AsPIrO2
1.0
3.511 0.000 0.000
0.000 3.511 0.000
0.000 0.000 7.331
As P Ir O
1 1 1 2
Direct
0.000 0.000 0.000
0.000 0.000 0.500
0.500 0.500 0.500
0.000 0.500 0.000
0.500 0.000 0.000
```

offset from the most stable computed form	0.201	eV per atom
raw formation energy	0.186	eV per atom
crystal system	tetragonal
total magnetic moment	0.0	μB per formula unit

---

Density functional theory data (PBE-GGA) for crystalline AsP2IrO at its relaxed geometry.

Cell and atoms, written as POSCAR:
```
AsP2IrO
1.0
4.806 0.000 0.000
0.000 4.806 0.000
0.000 0.000 3.695
As P Ir O
1 2 1 1
Direct
0.000 0.000 0.000
0.000 0.500 0.500
0.500 0.000 0.500
0.500 0.500 0.500
0.500 0.500 0.000
```

offset from the most stable computed form	0.000	eV per atom
raw formation energy	0.284	eV per atom
crystal system	tetragonal
total magnetic moment	0.0	μB per formula unit

---

Density functional theory data (PBE-GGA) for crystalline PmAs2IrO8 at its relaxed geometry.

Cell and atoms, written as POSCAR:
```
PmAs2IrO8
1.0
5.430 0.000 0.000
-2.715 4.702 0.000
0.000 0.000 6.884
Pm As Ir O
1 2 1 8
Direct
0.000 0.000 0.000
0.333 0.667 0.230
0.667 0.333 0.770
0.000 0.000 0.500
0.155 0.310 0.291
0.155 0.845 0.291
0.310 0.155 0.709
0.333 0.667 0.985
0.667 0.333 0.015
0.690 0.845 0.291
0.845 0.155 0.709
0.845 0.690 0.709
```

raw formation energy	-1.423	eV per atom
crystal system	trigonal
total magnetic moment	0.0	μB per formula unit

---

Density functional theory data (PBE-GGA) for crystalline RbAsIrO6 at its relaxed geometry.

Cell and atoms, written as POSCAR:
```
RbAsIrO6
1.0
5.137 0.000 0.000
-2.568 4.449 0.000
0.000 0.000 6.408
Rb As Ir O
1 1 1 6
Direct
0.000 0.000 0.000
0.667 0.333 0.500
0.333 0.667 0.500
0.401 0.009 0.670
0.401 0.392 0.330
0.608 0.009 0.330
0.608 0.599 0.670
0.991 0.392 0.670
0.991 0.599 0.330
```

raw formation energy	-1.079	eV per atom
crystal system	trigonal
total magnetic moment	1.1	μB per formula unit

---

Density functional theory data (PBE-GGA) for crystalline AsIrRhO6 at its relaxed geometry.

Cell and atoms, written as POSCAR:
```
AsIrRhO6
1.0
5.062 0.000 0.000
-2.531 4.383 0.000
0.000 0.000 8.583
As Ir Rh O
2 2 2 12
Direct
0.333 0.667 0.250
0.667 0.333 0.750
0.333 0.667 0.750
0.667 0.333 0.250
0.000 0.000 0.000
0.000 0.000 0.500
0.014 0.359 0.128
0.014 0.655 0.372
0.345 0.359 0.372
0.345 0.986 0.128
0.359 0.014 0.628
0.359 0.345 0.872
0.641 0.655 0.128
0.641 0.986 0.372
0.655 0.014 0.872
0.655 0.641 0.628
0.986 0.345 0.628
0.986 0.641 0.872
```

raw formation energy	-0.814	eV per atom
crystal system	trigonal
total magnetic moment	0.0	μB per formula unit

---

Density functional theory data (PBE-GGA) for crystalline AsIrSe2O at its relaxed geometry.

Cell and atoms, written as POSCAR:
```
AsIrSe2O
1.0
4.392 0.000 0.000
0.000 4.392 0.000
0.000 0.000 4.256
As Ir Se O
1 1 2 1
Direct
0.000 0.000 0.000
0.500 0.500 0.000
0.000 0.500 0.500
0.500 0.000 0.500
0.000 0.000 0.500
```

offset from the most stable computed form	0.000	eV per atom
raw formation energy	0.743	eV per atom
crystal system	tetragonal
total magnetic moment	0.0	μB per formula unit

---

Density functional theory data (PBE-GGA) for crystalline AsIrSe2O at its relaxed geometry.

Cell and atoms, written as POSCAR:
```
AsIrSe2O
1.0
4.839 0.000 0.000
0.000 4.839 0.000
0.000 0.000 4.873
As Ir Se O
1 1 2 1
Direct
0.000 0.000 0.000
0.000 0.000 0.500
0.000 0.500 0.500
0.500 0.000 0.500
0.500 0.500 0.000
```

offset from the most stable computed form	0.307	eV per atom
raw formation energy	1.050	eV per atom
crystal system	tetragonal
total magnetic moment	0.0	μB per formula unit

---

Density functional theory data (PBE-GGA) for crystalline SnAsIr2O at its relaxed geometry.

Cell and atoms, written as POSCAR:
```
SnAsIr2O
1.0
4.144 0.000 0.000
0.000 4.144 0.000
0.000 0.000 4.739
Sn As Ir O
1 1 2 1
Direct
0.000 0.000 0.000
0.500 0.500 0.000
0.000 0.500 0.500
0.500 0.000 0.500
0.500 0.500 0.500
```

raw formation energy	0.601	eV per atom
crystal system	tetragonal
total magnetic moment	0.0	μB per formula unit